Record 1
A relaxed Ho3MgOs crystal. Source: Alexandria via LeMat-Bulk, functional PBE.

Properties
Energy of formation in eV/atom: -0.01
SG: Pm-3m, No. 221
ρ in Mg/m³: 7.60
Density of states at the Fermi level in states/eV per cell: 2.294
Calculated volume in Å³/atom: 31.0

a = 5.3713 Å, b = 5.3713 Å, c = 5.3713 Å
α = 90.00°, β = 90.00°, γ = 90.00°
Fractional coordinates of all 5 atoms:
Ho  0.0000  0.0000  0.5000
Ho  0.0000  0.5000  0.0000
Ho  0.5000  0.0000  0.0000
Mg  0.5000  0.5000  0.5000
Os  0.0000  0.0000  0.0000

=====

Record 2
A relaxed TaMn2Br crystal. Source: Alexandria via LeMat-Bulk, functional PBE.

Properties
E_form (uncorrected) in meV/atom: 344
SG: P4mm, No. 99
ρ in Mg/m³: 8.36
Offset from the most stable computed form in eV/atom: 0.1342
Density of states at the Fermi level in states/eV per cell: 2.912
Calculated volume in Å³/atom: 18.4

a = 3.0944 Å, b = 3.0944 Å, c = 7.6857 Å
α = 90.00°, β = 90.00°, γ = 90.00°
Fractional coordinates of all 4 atoms:
Ta  0.0000  0.0000  0.0000
Mn  0.0000  0.0000  0.6305
Mn  0.5000  0.5000  0.8275
Br  0.5000  0.5000  0.2666

=====

Record 3
A relaxed Dy3CuTe2 crystal. Source: Alexandria via LeMat-Bulk, functional PBE.

Properties
E_form (uncorrected) in meV/atom: -914
SG: C2/m, No. 12
ρ in Mg/m³: 8.12
Density of states at the Fermi level in states/eV per cell: 8.900
Calculated volume in Å³/atom: 27.5

a = 7.2952 Å, b = 7.2952 Å, c = 7.5651 Å
α = 99.33°, β = 99.33°, γ = 119.99°
Fractional coordinates of all 12 atoms:
Dy  0.0685  0.4224  0.7717
Dy  0.2189  0.2189  0.2215
Dy  0.4224  0.0685  0.7717
Dy  0.5776  0.9315  0.2283
Dy  0.7811  0.7811  0.7785
Dy  0.9315  0.5776  0.2283
Cu  0.1691  0.8309  0.0000
Cu  0.8309  0.1691  0.0000
Te  0.0000  0.0000  0.5000
Te  0.3435  0.6565  0.5000
Te  0.5000  0.5000  0.0000
Te  0.6565  0.3435  0.5000

=====

Record 4
A relaxed YBe2Pt crystal. Source: Alexandria via LeMat-Bulk, functional PBE.

Properties
Energy of formation in eV/atom: -0.67
SG: R-3m, No. 166
ρ in Mg/m³: 7.84
Offset from the most stable computed form in eV/atom: 0.0000
Density of states at the Fermi level in states/eV per cell: 1.722
Calculated volume in Å³/atom: 16.0

a = 5.2939 Å, b = 5.2939 Å, c = 5.2939 Å
α = 43.57°, β = 43.57°, γ = 43.57°
Fractional coordinates of all 4 atoms:
Y  0.0000  0.0000  0.0000
Be  0.1957  0.1957  0.1957
Be  0.8043  0.8043  0.8043
Pt  0.5000  0.5000  0.5000

=====

Q: Which of these has the highest calculated volume?
A: Ho3MgOs